K2Co2Se3O9 | PBE with a Hubbard U | optimized geometry

Cell: 5.5819 5.5819 17.8496 Å, 90.00 90.00 120.00°
Closest atoms and distances in Å follow each position.
Positions (direct):
Se (0.0000, 0.0000, 0.6402)  3 O 1.73
Se (0.0000, 0.0000, 0.1402)  3 O 1.73
Se (0.0000, 0.0000, 0.8582)  3 O 1.74
Se (0.0000, 0.0000, 0.3582)  3 O 1.74
Se (0.3333, 0.6667, 0.2157)  3 O 1.74
Se (0.6667, 0.3333, 0.7157)  3 O 1.74
K (0.6667, 0.3333, 0.9546)  9 O 2.94-3.04
K (0.6667, 0.3333, 0.5308)  9 O 2.83-3.03
K (0.3333, 0.6667, 0.4546)  9 O 2.94-3.04
K (0.3333, 0.6667, 0.0308)  9 O 2.83-3.03
O (0.3195, 0.1598, 0.4030)  1 Se 1.74
O (0.8391, 0.6782, 0.0974)  1 Se 1.73
O (0.1598, 0.8402, 0.9030)  1 Se 1.74
O (0.8391, 0.1609, 0.0974)  1 Se 1.73
O (0.5012, 0.0025, 0.7535)  1 Se 1.74
O (0.9975, 0.4988, 0.7535)  1 Se 1.74
O (0.1609, 0.3218, 0.5974)  1 Se 1.73
O (0.4988, 0.5012, 0.2535)  1 Se 1.74
O (0.6782, 0.8391, 0.5974)  1 Se 1.73
O (0.4988, 0.9975, 0.2535)  1 Se 1.74
O (0.8402, 0.1598, 0.4030)  1 Se 1.74
O (0.1609, 0.8391, 0.5974)  1 Se 1.73
O (0.0025, 0.5012, 0.2535)  1 Se 1.74
O (0.3218, 0.1609, 0.0974)  1 Se 1.73
O (0.1598, 0.3195, 0.9030)  1 Se 1.74
O (0.5012, 0.4988, 0.7535)  1 Se 1.74
O (0.6805, 0.8402, 0.9030)  1 Se 1.74
O (0.8402, 0.6805, 0.4030)  1 Se 1.74
Co (0.6667, 0.3333, 0.1679)  6 O 2.09-2.23
Co (0.3333, 0.6667, 0.6679)  6 O 2.09-2.23
Co (0.3333, 0.6667, 0.8363)  6 O 2.06-2.20
Co (0.6667, 0.3333, 0.3363)  6 O 2.06-2.20

density = 3.98 g/cm3
raw total energy = -5.32 eV per atom
spin magnetization = 12.000 μB per cell
SG = No. 186